Model i:
YBi3Br | Alexandria | PBE-GGA | optimized geometry; symmetry = Pm-3m
1.0
5.621 0.000 0.000
0.000 5.621 0.000
0.000 0.000 5.621
Y Bi Br
1 3 1
direct
0.000 0.000 0.000 Y
0.000 0.500 0.500 Bi
0.500 0.000 0.500 Bi
0.500 0.500 0.000 Bi
0.500 0.500 0.500 Br

Model ii:
YBi3Br | Alexandria | PBE-GGA | optimized geometry; symmetry = Pm-3m
1.0
5.896 0.000 0.000
0.000 5.896 0.000
0.000 0.000 5.896
Y Bi Br
1 3 1
direct
0.000 0.000 0.000 Y
0.000 0.000 0.500 Bi
0.000 0.500 0.000 Bi
0.500 0.000 0.000 Bi
0.500 0.500 0.500 Br

model ii has the most favorable energy; the next structure is 184 meV/atom above.

Model i:
ZnBi2Br | Alexandria | PBE-GGA | optimized geometry; symmetry = I-42d
1.0
-2.346 2.346 11.268
2.346 -2.346 11.268
2.346 2.346 -11.268
Zn Bi Br
2 4 2
direct
0.000 0.000 0.000 Zn
0.750 0.250 0.500 Zn
0.082 0.625 0.957 Bi
0.375 0.332 0.457 Bi
0.668 0.125 0.043 Bi
0.875 0.918 0.543 Bi
0.250 0.750 0.500 Br
0.500 0.500 0.000 Br

Model ii:
ZnBi2Br | Alexandria | PBE-GGA | optimized geometry; symmetry = Fm-3m
1.0
0.000 3.760 3.760
3.760 0.000 3.760
3.760 3.760 0.000
Zn Bi Br
1 2 1
direct
0.000 0.000 0.000 Zn
0.250 0.250 0.250 Bi
0.750 0.750 0.750 Bi
0.500 0.500 0.500 Br

model i has the most favorable energy; the next structure is 92 meV/atom above.

Model i:
ZnBiBr3 | Alexandria | PBE-GGA | optimized geometry; symmetry = Pm-3m
1.0
5.167 0.000 0.000
0.000 5.167 0.000
0.000 0.000 5.167
Zn Bi Br
1 1 3
direct
0.000 0.000 0.000 Zn
0.500 0.500 0.500 Bi
0.000 0.000 0.500 Br
0.000 0.500 0.000 Br
0.500 0.000 0.000 Br

Model ii:
ZnBiBr3 | Alexandria | PBE-GGA | optimized geometry; symmetry = Pm-3m
1.0
5.749 0.000 0.000
0.000 5.749 0.000
0.000 0.000 5.749
Zn Bi Br
1 1 3
direct
0.000 0.000 0.000 Zn
0.500 0.500 0.500 Bi
0.000 0.500 0.500 Br
0.500 0.000 0.500 Br
0.500 0.500 0.000 Br

model ii has the most favorable energy; the next structure is 78 meV/atom above.

Model i:
ZrBi2Br | Alexandria | PBE-GGA | optimized geometry; symmetry = I-42d
1.0
-2.248 2.248 11.614
2.248 -2.248 11.614
2.248 2.248 -11.614
Zr Bi Br
2 4 2
direct
0.000 0.000 0.000 Zr
0.750 0.250 0.500 Zr
0.098 0.625 0.973 Bi
0.375 0.348 0.473 Bi
0.652 0.125 0.027 Bi
0.875 0.902 0.527 Bi
0.250 0.750 0.500 Br
0.500 0.500 0.000 Br

Model ii:
ZrBi2Br | Alexandria | PBE-GGA | optimized geometry; symmetry = Fm-3m
1.0
0.000 3.817 3.817
3.817 0.000 3.817
3.817 3.817 0.000
Zr Bi Br
1 2 1
direct
0.000 0.000 0.000 Zr
0.250 0.250 0.250 Bi
0.750 0.750 0.750 Bi
0.500 0.500 0.500 Br

model i has the most favorable energy; the next structure is 119 meV/atom above.

Model i:
ZrBiBr3 | Alexandria | PBE-GGA | optimized geometry; symmetry = Pm-3m
1.0
5.435 0.000 0.000
0.000 5.435 0.000
0.000 0.000 5.435
Zr Bi Br
1 1 3
direct
0.000 0.000 0.000 Zr
0.500 0.500 0.500 Bi
0.000 0.000 0.500 Br
0.000 0.500 0.000 Br
0.500 0.000 0.000 Br

Model ii:
ZrBiBr3 | Alexandria | PBE-GGA | optimized geometry; symmetry = Pm-3m
1.0
5.816 0.000 0.000
0.000 5.816 0.000
0.000 0.000 5.816
Zr Bi Br
1 1 3
direct
0.000 0.000 0.000 Zr
0.500 0.500 0.500 Bi
0.000 0.500 0.500 Br
0.500 0.000 0.500 Br
0.500 0.500 0.000 Br

model i has the most favorable energy; the next structure is 778 meV/atom above.

Model i:
BiC | Alexandria | PBE-GGA | optimized geometry; symmetry = P6_3mc
1.0
3.711 0.000 0.000
-1.856 3.214 0.000
0.000 0.000 7.142
Bi C
2 2
direct
0.333 0.667 0.000 Bi
0.667 0.333 0.500 Bi
0.333 0.667 0.641 C
0.667 0.333 0.141 C

Model ii:
BiC | Alexandria | PBE-GGA | optimized geometry; symmetry = I4/m
1.0
-5.165 5.165 1.853
5.165 -5.165 1.853
5.165 5.165 -1.853
Bi C
4 4
direct
0.103 0.728 0.832 Bi
0.272 0.103 0.375 Bi
0.728 0.897 0.625 Bi
0.897 0.272 0.168 Bi
0.128 0.304 0.432 C
0.304 0.872 0.176 C
0.696 0.128 0.824 C
0.872 0.696 0.568 C

model i has the most favorable energy; the next structure is 129 meV/atom above.

Model i:
BiC | Alexandria | PBE-GGA | optimized geometry; symmetry = P2_12_12_1
1.0
5.873 0.000 0.000
0.000 5.894 0.000
0.000 0.000 9.471
Bi C
8 8
direct
0.216 0.036 0.254 Bi
0.235 0.464 0.002 Bi
0.265 0.536 0.502 Bi
0.284 0.964 0.754 Bi
0.716 0.464 0.746 Bi
0.735 0.036 0.998 Bi
0.765 0.964 0.498 Bi
0.784 0.536 0.246 Bi
0.163 0.920 0.507 C
0.165 0.432 0.272 C
0.335 0.568 0.772 C
0.337 0.080 0.007 C
0.663 0.580 0.493 C
0.665 0.068 0.728 C
0.835 0.932 0.228 C
0.837 0.420 0.993 C

Model ii:
BiC | Alexandria | PBE-GGA | optimized geometry; symmetry = P6_3/mmc
1.0
4.234 0.000 0.000
-2.117 3.667 0.000
0.000 0.000 5.112
Bi C
2 2
direct
0.333 0.667 0.250 Bi
0.667 0.333 0.750 Bi
0.333 0.667 0.750 C
0.667 0.333 0.250 C

Model iii:
BiC | Alexandria | PBE-GGA | optimized geometry; symmetry = I-43m
1.0
-3.785 3.785 3.785
3.785 -3.785 3.785
3.785 3.785 -3.785
Bi C
4 4
direct
0.000 0.000 0.329 Bi
0.000 0.329 0.000 Bi
0.329 0.000 0.000 Bi
0.671 0.671 0.671 Bi
0.000 0.000 0.684 C
0.000 0.684 0.000 C
0.316 0.316 0.316 C
0.684 0.000 0.000 C

Model iv:
BiC | Alexandria | PBE-GGA | optimized geometry; symmetry = Fm-3m
1.0
0.000 2.567 2.567
2.567 0.000 2.567
2.567 2.567 0.000
Bi C
1 1
direct
0.000 0.000 0.000 Bi
0.500 0.500 0.500 C

model ii has the most favorable energy; the next structure is 32 meV/atom above.

Model i:
CaBi3C | Alexandria | PBE-GGA | optimized geometry; symmetry = Pm-3m
1.0
5.851 0.000 0.000
0.000 5.851 0.000
0.000 0.000 5.851
Ca Bi C
1 3 1
direct
0.000 0.000 0.000 Ca
0.000 0.000 0.500 Bi
0.000 0.500 0.000 Bi
0.500 0.000 0.000 Bi
0.500 0.500 0.500 C

Model ii:
CaBi3C | Alexandria | PBE-GGA | optimized geometry; symmetry = Pm-3m
1.0
5.120 0.000 0.000
0.000 5.120 0.000
0.000 0.000 5.120
Ca Bi C
1 3 1
direct
0.000 0.000 0.000 Ca
0.000 0.500 0.500 Bi
0.500 0.000 0.500 Bi
0.500 0.500 0.000 Bi
0.500 0.500 0.500 C

model ii has the most favorable energy; the next structure is 1292 meV/atom above.

Model i:
CaBiCO4F | Alexandria | PBE-GGA | optimized geometry; symmetry = Pmmn
1.0
3.474 0.000 0.000
0.000 4.555 0.000
0.000 0.000 13.363
Ca Bi C O F
2 2 2 8 2
direct
0.250 0.250 0.095 Ca
0.750 0.750 0.905 Ca
0.250 0.250 0.404 Bi
0.750 0.750 0.596 Bi
0.250 0.250 0.762 C
0.750 0.750 0.238 C
0.250 0.005 0.808 O
0.250 0.250 0.662 O
0.250 0.495 0.808 O
0.250 0.750 0.494 O
0.750 0.250 0.506 O
0.750 0.505 0.192 O
0.750 0.750 0.338 O
0.750 0.995 0.192 O
0.250 0.750 0.019 F
0.750 0.250 0.981 F

Model ii:
CaBiCO4F | Alexandria | PBE-GGA | optimized geometry; symmetry = Pcca
1.0
5.409 0.000 0.000
0.000 13.820 0.000
0.000 0.000 5.417
Ca Bi C O F
4 4 4 16 4
direct
0.000 0.099 0.250 Ca
0.000 0.901 0.750 Ca
0.500 0.099 0.750 Ca
0.500 0.901 0.250 Ca
0.000 0.406 0.250 Bi
0.000 0.594 0.750 Bi
0.500 0.406 0.750 Bi
0.500 0.594 0.250 Bi
0.000 0.243 0.750 C
0.000 0.757 0.250 C
0.500 0.243 0.250 C
0.500 0.757 0.750 C
0.000 0.339 0.750 O
0.000 0.661 0.250 O
0.148 0.199 0.603 O
0.148 0.801 0.103 O
0.250 0.500 0.498 O
0.250 0.500 0.998 O
0.352 0.199 0.103 O
0.352 0.801 0.603 O
0.500 0.339 0.250 O
0.500 0.661 0.750 O
0.648 0.199 0.397 O
0.648 0.801 0.897 O
0.750 0.500 0.002 O
0.750 0.500 0.502 O
0.852 0.199 0.897 O
0.852 0.801 0.397 O
0.250 0.000 0.487 F
0.250 0.000 0.987 F
0.750 0.000 0.013 F
0.750 0.000 0.513 F

model ii has the most favorable energy; the next structure is 122 meV/atom above.

Model i:
CdBi2C | Alexandria | PBE-GGA | optimized geometry; symmetry = Fm-3m
1.0
0.000 3.594 3.594
3.594 0.000 3.594
3.594 3.594 0.000
Cd Bi C
1 2 1
direct
0.000 0.000 0.000 Cd
0.250 0.250 0.250 Bi
0.750 0.750 0.750 Bi
0.500 0.500 0.500 C

Model ii:
CdBi2C | Alexandria | PBE-GGA | optimized geometry; symmetry = I-42d
1.0
-3.254 3.254 5.230
3.254 -3.254 5.230
3.254 3.254 -5.230
Cd Bi C
2 4 2
direct
0.000 0.000 0.000 Cd
0.750 0.250 0.500 Cd
0.199 0.625 0.074 Bi
0.375 0.449 0.574 Bi
0.551 0.125 0.926 Bi
0.875 0.801 0.426 Bi
0.250 0.750 0.500 C
0.500 0.500 0.000 C

model ii has the most favorable energy; the next structure is 499 meV/atom above.

Model i:
CdBiC3 | Alexandria | PBE-GGA | optimized geometry; symmetry = Pm-3m
1.0
4.556 0.000 0.000
0.000 4.556 0.000
0.000 0.000 4.556
Cd Bi C
1 1 3
direct
0.000 0.000 0.000 Cd
0.500 0.500 0.500 Bi
0.000 0.500 0.500 C
0.500 0.000 0.500 C
0.500 0.500 0.000 C

Model ii:
CdBiC3 | Alexandria | PBE-GGA | optimized geometry; symmetry = Pm-3m
1.0
4.359 0.000 0.000
0.000 4.359 0.000
0.000 0.000 4.359
Cd Bi C
1 1 3
direct
0.000 0.000 0.000 Cd
0.500 0.500 0.500 Bi
0.000 0.000 0.500 C
0.000 0.500 0.000 C
0.500 0.000 0.000 C

model ii has the most favorable energy; the next structure is 121 meV/atom above.